Tm5InIr GGA-PBE optimized geometry; total magnetization = 0.000 μB/atom; final energy = -5.14 eV/atom; ΔH_f (0 K) = -0.2859 eV per atom
1.0
5.4383 -3.4159 0.0000
5.4383 3.4159 0.0000
-3.7231 0.0000 10.5845
Tm In Ir
10 2 2
Direct
0.0220 0.9780 0.7500
0.0444 0.4000 0.6386
0.2105 0.5367 0.9541
0.4000 0.0444 0.1386
0.4633 0.7895 0.5459
0.5367 0.2105 0.4541
0.6000 0.9556 0.8614
0.7895 0.4633 0.0459
0.9556 0.6000 0.3614
0.9780 0.0220 0.2500
0.4646 0.5354 0.2500
0.5354 0.4646 0.7500
0.0000 0.0000 0.0000
0.0000 0.0000 0.5000